AcAg2Au2: relaxed, PBE.

```
data_AcAg2Au2
_space_group_name_H-M_alt 'C 1 2/m 1'
_space_group_IT_number 12
_cell_length_a 8.1864
_cell_length_b 6.7522
_cell_length_c 5.1832
_cell_angle_alpha 90.00
_cell_angle_beta 125.05
_cell_angle_gamma 90.00
loop_
_space_group_symop_operation_xyz
'x,y,z'
'-x,-y,-z'
'-x,y,-z'
'x,-y,z'
'x+1/2,y+1/2,z'
'-x+1/2,-y+1/2,-z'
'-x+1/2,y+1/2,-z'
'x+1/2,-y+1/2,z'
loop_
_atom_site_label
_atom_site_type_symbol
_atom_site_fract_x
_atom_site_fract_y
_atom_site_fract_z
Ac1 Ac 0.0000 0.0000 0.0000
Ag1 Ag 0.1973 0.5000 0.2297
Au1 Au 0.0000 0.2968 0.5000
```

## Properties
Its crystal system is monoclinic. The total energy comes out at -3.69 eV per atom. The calculation puts the formation enthalpy at 0 K at -0.419 eV/atom.